[1]
Compound: V2AgIrI
Source: the Alexandria database
Functional: PBE-GGA
Structure: optimized geometry

Calculated values
* E_form (uncorrected): 9.50 eV/f.u.

```
V2AgIrI
1.0
4.864 0.000 0.000
0.000 4.864 0.000
0.000 0.000 4.995
V Ag Ir I
2 1 1 1
Direct
0.000 0.500 0.000
0.500 0.000 0.000
0.000 0.000 0.500
0.500 0.500 0.500
0.000 0.000 0.000
```



[2]
Compound: K2AgI
Source: the Alexandria database
Functional: PBE-GGA
Structure: optimized geometry

Calculated values
* E_form (uncorrected): -2.57 eV/f.u.
* excess energy over the best structure of this formula in the dataset: 19 meV/atom

```
K2AgI
1.0
4.246 0.000 0.000
0.000 4.246 0.000
0.000 0.000 8.470
K Ag I
2 1 1
Direct
0.000 0.000 0.249
0.000 0.000 0.751
0.500 0.500 0.000
0.500 0.500 0.500
```



[3]
Compound: K2Ag2I5
Source: the Alexandria database
Functional: PBE-GGA
Structure: optimized geometry

Calculated values
* E_form (uncorrected): -6.45 eV/f.u.

```
K2Ag2I5
1.0
7.747 -2.925 0.000
7.747 2.925 0.000
-3.300 0.000 8.057
K Ag I
2 2 5
Direct
0.108 0.108 0.290
0.892 0.892 0.710
0.358 0.358 0.142
0.642 0.642 0.858
0.157 0.157 0.889
0.353 0.353 0.460
0.500 0.500 0.000
0.647 0.647 0.540
0.843 0.843 0.111
```



Please write out number 2 again, unchanged.
Compound: K2AgI
Source: the Alexandria database
Functional: PBE-GGA
Structure: optimized geometry

Calculated values
* E_form (uncorrected): -2.57 eV/f.u.
* excess energy over the best structure of this formula in the dataset: 19 meV/atom

```
K2AgI
1.0
4.246 0.000 0.000
0.000 4.246 0.000
0.000 0.000 8.470
K Ag I
2 1 1
Direct
0.000 0.000 0.249
0.000 0.000 0.751
0.500 0.500 0.000
0.500 0.500 0.500
```



- Among the records above, which one has the lowest E_form (uncorrected)?
  K2Ag2I5



- The lowest E_form (uncorrected) belongs to which entry?
  K2Ag2I5



- What is the formula in the first record?
  V2AgIrI